Material: Nb2ZnPd
Method: DFT, PBE
State: relaxed

```
data_Nb2ZnPd
_chemical_formula_sum 'Nb8 Zn4 Pd4'
_cell_length_a 6.4352
_cell_length_b 6.4352
_cell_length_c 6.4352
_cell_angle_alpha 90.00
_cell_angle_beta 90.00
_cell_angle_gamma 90.00
_symmetry_space_group_name_H-M 'F -4 3 m'
_symmetry_Int_Tables_number 216
_symmetry_space_group_name_Hall 'F -4 2 3'
loop_
_atom_site_label
_atom_site_type_symbol
_atom_site_fract_x
_atom_site_fract_y
_atom_site_fract_z
_atom_site_occupancy
Nb1 Nb 0.0000 0.0000 0.0000 1
Nb2 Nb 0.2500 0.2500 0.2500 1
Zn1 Zn 0.0000 0.0000 0.5000 1
Pd1 Pd 0.2500 0.2500 0.7500 1
```

E_form   93 meV per atom